{
  "formula": "LiInHg2Cl4",
  "functional": "GGA-PBE",
  "state": "relaxed",
  "magnetic_moment_mub_per_fu": 0.00,
  "dft_energy_ev_per_fu": -19.999,
  "dos_ef_per_ev_cell": 0.00,
  "raw_formation_energy_ev_per_atom": -0.92,
  "lattice": [[7.293, 0.000, 0.000], [-3.248, 6.539, 0.000], [-3.244, -2.507, 6.054]],
  "species": ["Li", "In", "Hg", "Hg", "Cl", "Cl", "Cl", "Cl"],
  "fractional_positions": [[0.000, 0.000, 0.000], [0.500, 0.250, 0.749], [0.502, 0.751, 0.251], [0.999, 0.500, 0.497], [0.156, 0.147, 0.781], [0.364, 0.219, 0.375], [0.634, 0.010, 0.855], [0.845, 0.624, 0.987]]
}

---

{
  "formula": "MgInHg2Cl",
  "functional": "GGA-PBE",
  "state": "relaxed",
  "magnetic_moment_mub_per_fu": 0.00,
  "dft_energy_ev_per_fu": -7.198,
  "dos_ef_per_ev_cell": 1.20,
  "raw_formation_energy_ev_per_atom": -0.08,
  "lattice": [[5.543, 0.000, 0.000], [0.000, 5.543, 0.000], [0.000, 0.000, 5.607]],
  "species": ["Mg", "In", "Hg", "Hg", "Cl"],
  "fractional_positions": [[0.000, 0.000, 0.000], [0.000, 0.000, 0.500], [0.000, 0.500, 0.500], [0.500, 0.000, 0.500], [0.500, 0.500, 0.000]]
}

---

{
  "formula": "InHgMoCl2",
  "functional": "GGA-PBE",
  "state": "relaxed",
  "magnetic_moment_mub_per_fu": 0.01,
  "dft_energy_ev_per_fu": -17.893,
  "dos_ef_per_ev_cell": 3.62,
  "raw_formation_energy_ev_per_atom": -0.07,
  "lattice": [[4.711, 0.000, 0.000], [0.000, 4.711, 0.000], [0.000, 0.000, 5.785]],
  "species": ["In", "Hg", "Mo", "Cl", "Cl"],
  "fractional_positions": [[0.000, 0.000, 0.000], [0.500, 0.500, 0.000], [0.000, 0.000, 0.500], [0.000, 0.500, 0.500], [0.500, 0.000, 0.500]]
}

---

{
  "formula": "InHg2NCl",
  "functional": "GGA-PBE",
  "state": "relaxed",
  "magnetic_moment_mub_per_fu": 0.98,
  "dft_energy_ev_per_fu": -10.810,
  "dos_ef_per_ev_cell": 3.40,
  "raw_formation_energy_ev_per_atom": 0.54,
  "lattice": [[5.779, 0.000, 0.000], [0.000, 5.779, 0.000], [0.000, 0.000, 4.102]],
  "species": ["In", "Hg", "Hg", "N", "Cl"],
  "fractional_positions": [[0.000, 0.000, 0.000], [0.000, 0.500, 0.000], [0.500, 0.000, 0.000], [0.000, 0.000, 0.500], [0.500, 0.500, 0.500]]
}

---

{
  "formula": "NaInHgCl6",
  "functional": "GGA-PBE",
  "state": "relaxed",
  "magnetic_moment_mub_per_fu": 0.00,
  "dft_energy_ev_per_fu": -25.133,
  "dos_ef_per_ev_cell": 0.00,
  "raw_formation_energy_ev_per_atom": -1.08,
  "lattice": [[6.759, 0.000, 0.000], [-3.379, 5.853, 0.000], [0.000, 0.000, 12.518]],
  "species": ["Na", "Na", "In", "In", "Hg", "Hg", "Cl", "Cl", "Cl", "Cl", "Cl", "Cl", "Cl", "Cl", "Cl", "Cl", "Cl", "Cl"],
  "fractional_positions": [[0.000, 0.000, 0.000], [0.000, 0.000, 0.500], [0.333, 0.667, 0.250], [0.667, 0.333, 0.750], [0.333, 0.667, 0.750], [0.667, 0.333, 0.250], [0.018, 0.365, 0.132], [0.018, 0.653, 0.368], [0.347, 0.365, 0.368], [0.347, 0.982, 0.132], [0.365, 0.018, 0.632], [0.365, 0.347, 0.868], [0.635, 0.653, 0.132], [0.635, 0.982, 0.368], [0.653, 0.018, 0.868], [0.653, 0.635, 0.632], [0.982, 0.347, 0.632], [0.982, 0.635, 0.868]]
}

---

{
  "formula": "NaIn2HgCl",
  "functional": "GGA-PBE",
  "state": "relaxed",
  "relative_energy_ev_per_atom": 0.153,
  "magnetic_moment_mub_per_fu": 0.00,
  "dft_energy_ev_per_fu": -9.151,
  "dos_ef_per_ev_cell": 2.32,
  "raw_formation_energy_ev_per_atom": -0.04,
  "lattice": [[5.679, 0.000, 0.000], [0.000, 5.679, 0.000], [0.000, 0.000, 6.314]],
  "species": ["Na", "In", "In", "Hg", "Cl"],
  "fractional_positions": [[0.000, 0.000, 0.000], [0.000, 0.500, 0.500], [0.500, 0.000, 0.500], [0.500, 0.500, 0.000], [0.500, 0.500, 0.500]]
}

---

{
  "formula": "Na2In2HgCl6",
  "functional": "GGA-PBE",
  "state": "relaxed",
  "magnetic_moment_mub_per_fu": 0.00,
  "dft_energy_ev_per_fu": -32.400,
  "dos_ef_per_ev_cell": 0.00,
  "raw_formation_energy_ev_per_atom": -1.17,
  "lattice": [[7.255, 0.000, 0.000], [-0.292, 7.472, 0.000], [-3.365, -3.386, 8.422]],
  "species": ["Na", "Na", "In", "In", "Hg", "Cl", "Cl", "Cl", "Cl", "Cl", "Cl"],
  "fractional_positions": [[0.163, 0.272, 0.032], [0.837, 0.728, 0.968], [0.094, 0.562, 0.664], [0.906, 0.438, 0.336], [0.500, 0.000, 0.500], [0.041, 0.882, 0.817], [0.053, 0.615, 0.214], [0.447, 0.558, 0.781], [0.553, 0.442, 0.219], [0.947, 0.385, 0.786], [0.959, 0.118, 0.183]]
}

---

{
  "formula": "NaIn2HgCl",
  "functional": "GGA-PBE",
  "state": "relaxed",
  "relative_energy_ev_per_atom": 0.000,
  "magnetic_moment_mub_per_fu": 0.00,
  "dft_energy_ev_per_fu": -9.915,
  "dos_ef_per_ev_cell": 3.08,
  "raw_formation_energy_ev_per_atom": -0.19,
  "lattice": [[5.962, 0.000, 0.000], [0.000, 5.962, 0.000], [0.000, 0.000, 5.122]],
  "species": ["Na", "In", "In", "Hg", "Cl"],
  "fractional_positions": [[0.000, 0.000, 0.000], [0.000, 0.500, 0.500], [0.500, 0.000, 0.500], [0.500, 0.500, 0.000], [0.000, 0.000, 0.500]]
}